! Tc3Rh5, relaxed, DFT GGA-PBE; values from VASP
! Calculated formation energy in eV per atom: -0.0608
! Mass density in Mg/m³: 11.782
! Symmetry: Cmmm, No. 65
! Spin magnetization in μB per atom: 0.00
! Calculated volume in Å³ per atom: 14.245
! Energy above the most stable polymorph in this dataset in kJ per mole of atoms: 4.8
&SYSTEM
  ibrav = 0, nat = 8, ntyp = 2
/
ATOMIC_SPECIES
Tc 98.00 Tc.upf
Rh 102.91 Rh.upf
ATOMIC_POSITIONS crystal
Tc 0.2550 0.2550 0.5000
Tc 0.7450 0.7450 0.5000
Tc 0.5000 0.5000 0.0000
Rh 0.7475 0.2525 0.5000
Rh 0.5000 0.0000 0.0000
Rh 0.0000 0.0000 0.0000
Rh 0.2525 0.7475 0.5000
Rh 0.0000 0.5000 0.0000
CELL_PARAMETERS angstrom
3.8250 -3.8869 0.0000
3.8250 3.8869 0.0000
0.0000 0.0000 3.8325